# ScTaOs2 | the Alexandria database | PBE | optimized geometry
data_ScTaOs2
_chemical_formula_sum 'Sc2 Ta2 Os4'
_cell_length_a 3.192
_cell_length_b 4.719
_cell_length_c 8.724
_cell_angle_alpha 90.00
_cell_angle_beta 90.00
_cell_angle_gamma 90.00
_space_group_name_H-M_alt 'C m m m'
_space_group_IT_number 65
_space_group_name_Hall '-C 2 2'
loop_
_atom_site_label
_atom_site_fract_x
_atom_site_fract_y
_atom_site_fract_z
Sc1 0.000 0.000 0.000
Ta1 0.000 0.000 0.500
Os1 0.000 0.500 0.256
# ΔE_f   -0.0871 eV/atom
# Distance to the lowest polymorph of the same formula   444 meV per atom
# Calculated total energy   -10.25 eV/atom